BaDyV4O12 (PBE+U, relaxed); magnetization = 0.00 μB per formula unit; total energy = -133.98 eV per cell; density of states at the Fermi level = 0.130 states/eV per atom
1.0
5.3934 0.0000 0.0000
0.0000 5.3934 0.0000
0.0000 0.0000 7.5468
Ba Dy V O
1 1 4 12
Direct
0.5000 0.5000 0.0000
0.0000 0.0000 0.5000
0.0000 0.5000 0.7465
0.0000 0.5000 0.2535
0.5000 0.0000 0.7465
0.5000 0.0000 0.2535
0.2427 0.2427 0.2637
0.2427 0.2427 0.7363
0.7573 0.7573 0.7363
0.7573 0.7573 0.2637
0.7573 0.2427 0.7363
0.7573 0.2427 0.2637
0.2427 0.7573 0.7363
0.2427 0.7573 0.2637
0.0000 0.5000 0.5000
0.0000 0.5000 0.0000
0.5000 0.0000 0.5000
0.5000 0.0000 0.0000